Record 1
Compound: La8Pd2Au
Source: the Alexandria database
Functional: PBE-GGA
Structure: relaxed

Structure (POSCAR):
```
La8Pd2Au
1.0
4.259 -7.033 0.000
4.259 7.033 0.000
-2.164 0.000 5.906
La Pd Au
8 2 1
Cartesian
0.000 0.000 0.000
-0.052 1.806 3.310
2.632 2.966 1.111
-0.052 -1.806 3.310
3.318 1.805 4.768
2.632 -2.966 1.111
3.318 -1.805 4.768
5.513 0.000 2.301
1.645 4.184 4.121
1.645 -4.184 4.121
2.392 0.000 2.242
```

Computed properties:
Symmetry: Cm
ΔH_f (0 K): -0.34 eV/atom
Fermi-level density of states: 1.263 states/eV per atom


Record 2
Compound: BHPb
Source: the Alexandria database
Functional: PBE-GGA
Structure: relaxed

Structure (POSCAR):
```
BHPb
1.0
3.204 0.000 0.000
1.597 5.885 0.000
1.592 2.661 5.539
B H Pb
2 2 2
Cartesian
1.600 2.861 0.379
4.793 5.685 5.160
1.600 2.333 1.485
4.793 6.212 4.053
3.189 3.644 4.262
3.203 4.902 1.277
```

Computed properties:
E: -26.190 eV for the cell shown
Symmetry: P-1
Fermi-level density of states: 0.145 states/eV per atom


Record 3
Compound: Ho4Er3Mg
Source: the Alexandria database
Functional: PBE-GGA
Structure: relaxed

Structure (POSCAR):
```
Ho4Er3Mg
1.0
11.138 0.000 0.000
0.000 7.027 0.000
0.000 0.000 6.140
Ho Er Mg
8 6 2
Cartesian
0.000 0.872 0.000
0.000 6.146 2.954
2.734 6.132 5.076
2.835 0.894 2.006
5.569 0.881 6.024
5.569 6.155 3.070
8.303 0.894 2.006
8.404 6.132 5.076
0.000 2.614 2.942
2.735 2.654 5.014
2.834 4.372 1.944
5.569 4.412 6.012
8.304 4.372 1.944
8.403 2.654 5.014
0.000 4.366 6.064
5.569 2.661 2.994
```

Computed properties:
Symmetry: Pmn2_1
ΔH_f (0 K): 0.00 eV/atom
Fermi-level density of states: 1.404 states/eV per atom


Record 4
Compound: TcAuBr
Source: the Alexandria database
Functional: PBE-GGA
Structure: relaxed

Structure (POSCAR):
```
TcAuBr
1.0
3.059 0.000 0.000
0.000 3.059 0.000
0.000 0.000 12.718
Tc Au Br
2 2 2
Cartesian
0.000 0.000 0.000
1.530 1.530 6.359
0.000 0.000 8.221
1.530 1.530 1.862
0.000 0.000 4.932
1.530 1.530 11.291
```

Computed properties:
Symmetry: I4mm
Uncorrected formation energy: 0.57 eV per atom
Fermi-level density of states: 0.788 states/eV per atom